This record from Alexandria describes an optimized crystal structure of Na3ZrGe. The functional is PBE.

- energy above the most stable polymorph in this dataset (meV per atom) = 572
- mass density (g/cm3) = 1.969
- E_form (eV/f.u.) = 7.21

Lattice parameters (Å, degrees): 5.8123 5.8123 5.8123 90.00 90.00 90.00
Positions (direct):
1 Na 0.0000 0.0000 0.5000
2 Na 0.0000 0.5000 0.0000
3 Na 0.5000 0.0000 0.0000
4 Zr 0.0000 0.0000 0.0000
5 Ge 0.5000 0.5000 0.5000